Entry 1:
First-principles (PBE-GGA) data for a relaxed structure of Al2HgAs, as listed in the Alexandria database.

The energy is -2.94 eV/atom. Its excess energy over the best structure of this formula in the dataset is 203.1 meV/atom. Its magnetic moment is 0.0 μB per cell. Its calculated density is 6.69 g cm⁻³. The energy of formation from the pure elements comes out at 0.172 eV/atom.

The structure belongs to space group C2/m (No. 12); the cell edges are 5.731, 7.398 and 4.112 Å and the angles 90.00°, 110.26° and 90.00°. The inequivalent atoms are Al at (0.250, 0.250, 0.000), Hg at (0.000, 0.000, 0.500) and As at (0.000, 0.500, 0.500).


Entry 2:
First-principles (PBE-GGA) data for a relaxed structure of AlHgAs2, as listed in the Alexandria database.

The energy is -3.17 eV/atom. Its excess energy over the best structure of this formula in the dataset is 204.9 meV/atom. Its magnetic moment is 0.0 μB per cell. Its calculated density is 7.22 g cm⁻³. The energy of formation from the pure elements comes out at 0.161 eV/atom.

The structure belongs to space group Cmmm (No. 65); the cell edges are 3.668, 4.649 and 10.186 Å and the angles 90.00°, 90.00° and 90.00°. The inequivalent atoms are Al at (0.000, 0.000, 0.000), Hg at (0.000, 0.000, 0.500) and As at (0.000, 0.500, 0.192).


Entry 3:
First-principles (PBE-GGA) data for a relaxed structure of AlHgAs2, as listed in the Alexandria database.

The energy is -3.01 eV/atom. Its excess energy over the best structure of this formula in the dataset is 371.0 meV/atom. Its magnetic moment is 0.0 μB per cell. Its calculated density is 7.70 g cm⁻³. The energy of formation from the pure elements comes out at 0.327 eV/atom.

The structure belongs to space group Pmmm (No. 47); the cell edges are 3.678, 4.543 and 4.873 Å and the angles 90.00°, 90.00° and 90.00°. The inequivalent atoms are Al at (0.000, 0.000, 0.000), Hg at (0.500, 0.000, 0.500), As at (0.000, 0.500, 0.500) and As at (0.500, 0.500, 0.000).


Entry 4:
First-principles (PBE-GGA) data for a relaxed structure of Al2HgAs, as listed in the Alexandria database.

The energy is -2.92 eV/atom. Its excess energy over the best structure of this formula in the dataset is 219.1 meV/atom. Its magnetic moment is 0.0 μB per cell. Its calculated density is 6.97 g cm⁻³. The energy of formation from the pure elements comes out at 0.188 eV/atom.

The structure belongs to space group P4/mmm (No. 123); the cell edges are 4.715, 4.715 and 3.532 Å and the angles 90.00°, 90.00° and 90.00°. The inequivalent atoms are Al at (0.000, 0.500, 0.000), Hg at (0.000, 0.000, 0.500) and As at (0.500, 0.500, 0.500).


Entry 5:
First-principles (PBE-GGA) data for a relaxed structure of Al2HgAs, as listed in the Alexandria database.

The energy is -3.07 eV/atom. Its excess energy over the best structure of this formula in the dataset is 68.1 meV/atom. Its magnetic moment is 0.0 μB per cell. Its calculated density is 6.38 g cm⁻³. The energy of formation from the pure elements comes out at 0.037 eV/atom.

The structure belongs to space group P4mm (No. 99); the cell edges are 3.709, 3.709 and 6.238 Å and the angles 90.00°, 90.00° and 90.00°. The inequivalent atoms are Al at (0.000, 0.000, 0.000), Al at (0.500, 0.500, 0.413), Hg at (0.500, 0.500, 0.869) and As at (0.000, 0.000, 0.399).


Entry 6:
First-principles (PBE-GGA) data for a relaxed structure of AlHgAs2, as listed in the Alexandria database.

The energy is -3.16 eV/atom. Its excess energy over the best structure of this formula in the dataset is 222.0 meV/atom. Its magnetic moment is 0.0 μB per cell. Its calculated density is 6.92 g cm⁻³. The energy of formation from the pure elements comes out at 0.179 eV/atom.

The structure belongs to space group C2/m (No. 12); the cell edges are 10.724, 3.383 and 5.176 Å and the angles 90.00°, 105.33° and 90.00°. The inequivalent atoms are Al at (0.000, 0.000, 0.000), Hg at (0.000, 0.500, 0.500) and As at (0.210, 0.500, 0.145).


Entry 7:
First-principles (PBE-GGA) data for a relaxed structure of Al2HgAs, as listed in the Alexandria database.

The energy is -2.95 eV/atom. Its excess energy over the best structure of this formula in the dataset is 192.3 meV/atom. Its magnetic moment is 0.0 μB per cell. Its calculated density is 6.85 g cm⁻³. The energy of formation from the pure elements comes out at 0.161 eV/atom.

The structure belongs to space group Cmmm (No. 65); the cell edges are 4.182, 5.033 and 7.585 Å and the angles 90.00°, 90.00° and 90.00°. The inequivalent atoms are Al at (0.000, 0.000, 0.223), Hg at (0.000, 0.500, 0.500) and As at (0.000, 0.500, 0.000).


Entry 8:
First-principles (PBE-GGA) data for a relaxed structure of AlHgAs2, as listed in the Alexandria database.

The energy is -3.28 eV/atom. Its excess energy over the best structure of this formula in the dataset is 99.4 meV/atom. Its magnetic moment is 0.0 μB per cell. Its calculated density is 6.44 g cm⁻³. The energy of formation from the pure elements comes out at 0.056 eV/atom.

The structure belongs to space group P4/mmm (No. 123); the cell edges are 3.454, 3.454 and 8.163 Å and the angles 90.00°, 90.00° and 90.00°. The inequivalent atoms are Al at (0.000, 0.000, 0.000), Hg at (0.000, 0.000, 0.500) and As at (0.500, 0.500, 0.152).